First-principles (PBE) data for a relaxed Na3SnF crystal, as listed in Alexandria.

Summary:
Energy relative to the lowest polymorph listed for this composition, meV/atom: 796
V, Å³/cell: 212
Raw formation energy, eV per formula unit: -1.43
Final energy, eV/atom: -2.252

```
data_Na3SnF
_symmetry_space_group_name_H-M 'P m -3 m'
_symmetry_Int_Tables_number 221
_symmetry_space_group_name_Hall '-P 4 2 3'
_cell_length_a 5.959
_cell_length_b 5.959
_cell_length_c 5.959
_cell_angle_alpha 90.00
_cell_angle_beta 90.00
_cell_angle_gamma 90.00
loop_
_atom_site_label
_atom_site_type_symbol
_atom_site_fract_x
_atom_site_fract_y
_atom_site_fract_z
Na1 Na 0.000 0.000 0.500
Sn1 Sn 0.000 0.000 0.000
F1 F 0.500 0.500 0.500
```

First-principles (PBE) data for a relaxed NaSnF3 crystal, as listed in Alexandria.

Summary:
Energy relative to the lowest polymorph listed for this composition, meV/atom: 354
V, Å³/cell: 72
Raw formation energy, eV per formula unit: -10.64
Final energy, eV/atom: -4.315

```
data_NaSnF3
_symmetry_space_group_name_H-M 'P m -3 m'
_symmetry_Int_Tables_number 221
_symmetry_space_group_name_Hall '-P 4 2 3'
_cell_length_a 4.159
_cell_length_b 4.159
_cell_length_c 4.159
_cell_angle_alpha 90.00
_cell_angle_beta 90.00
_cell_angle_gamma 90.00
loop_
_atom_site_label
_atom_site_type_symbol
_atom_site_fract_x
_atom_site_fract_y
_atom_site_fract_z
Na1 Na 0.000 0.000 0.000
Sn1 Sn 0.500 0.500 0.500
F1 F 0.000 0.000 0.500
```